This record from Alexandria via LeMat-Bulk describes crystalline In3Sn2AuS8 at its relaxed geometry. The functional is PBE.

a = 7.747 Å, b = 7.747 Å, c = 7.747 Å
α = 61.83°, β = 61.83°, γ = 61.83°
Fractional coordinates of all 14 atoms:
In: 0.170 0.170 0.659
In: 0.170 0.659 0.170
In: 0.659 0.170 0.170
Sn: 0.172 0.172 0.172
Sn: 0.785 0.785 0.785
Au: 0.544 0.544 0.544
S: 0.373 0.937 0.937
S: 0.409 0.409 0.409
S: 0.410 0.410 0.939
S: 0.410 0.939 0.410
S: 0.927 0.927 0.927
S: 0.937 0.373 0.937
S: 0.937 0.937 0.373
S: 0.939 0.410 0.410

Computed properties:
* ρ: 5.02 g cm⁻³
* energy: -4.138 eV/atom
* D(E_F): 0.18 states/eV/atom

=====

This record from Alexandria via LeMat-Bulk describes crystalline Pm2Er7Tm3 at its relaxed geometry. The functional is PBE.

a = 6.306 Å, b = 3.509 Å, c = 17.011 Å
α = 90.00°, β = 90.08°, γ = 90.00°
Fractional coordinates of all 12 atoms:
Pm: 0.009 0.000 0.175
Pm: 0.991 0.000 0.825
Er: 0.176 0.500 0.337
Er: 0.256 0.000 0.998
Er: 0.328 0.000 0.666
Er: 0.500 0.500 0.500
Er: 0.672 0.000 0.334
Er: 0.744 0.000 0.002
Er: 0.824 0.500 0.663
Tm: 0.000 0.000 0.500
Tm: 0.499 0.500 0.843
Tm: 0.501 0.500 0.157

Computed properties:
* ρ: 8.68 g cm⁻³
* calculated formation energy: 71 meV per atom
* D(E_F): 1.47 states/eV/atom

=====

This record from Alexandria via LeMat-Bulk describes crystalline Li5SnP3 at its relaxed geometry. The functional is PBE.

a = 7.313 Å, b = 7.313 Å, c = 8.513 Å
α = 106.82°, β = 106.82°, γ = 48.41°
Fractional coordinates of all 18 atoms:
Li: 0.084 0.575 0.909
Li: 0.091 0.579 0.428
Li: 0.248 0.752 0.750
Li: 0.421 0.909 0.072
Li: 0.425 0.916 0.591
Li: 0.575 0.084 0.409
Li: 0.579 0.091 0.928
Li: 0.752 0.248 0.250
Li: 0.909 0.421 0.572
Li: 0.916 0.425 0.091
Sn: 0.265 0.735 0.250
Sn: 0.735 0.265 0.750
P: 0.000 0.000 0.000
P: 0.000 0.000 0.500
P: 0.323 0.345 0.172
P: 0.345 0.323 0.672
P: 0.655 0.677 0.328
P: 0.677 0.655 0.828

Computed properties:
* ρ: 2.53 g cm⁻³
* calculated formation energy: -528 meV per atom
* D(E_F): 0.16 states/eV/atom

=====

This record from Alexandria via LeMat-Bulk describes crystalline PmPrEuSn at its relaxed geometry. The functional is PBE.

a = 7.914 Å, b = 7.914 Å, c = 7.914 Å
α = 90.00°, β = 90.00°, γ = 90.00°
Fractional coordinates of all 16 atoms:
Pm: 0.000 0.000 0.000
Pm: 0.000 0.500 0.500
Pm: 0.500 0.000 0.500
Pm: 0.500 0.500 0.000
Pr: 0.000 0.000 0.500
Pr: 0.000 0.500 0.000
Pr: 0.500 0.000 0.000
Pr: 0.500 0.500 0.500
Eu: 0.250 0.250 0.250
Eu: 0.250 0.750 0.750
Eu: 0.750 0.250 0.750
Eu: 0.750 0.750 0.250
Sn: 0.250 0.250 0.750
Sn: 0.250 0.750 0.250
Sn: 0.750 0.250 0.250
Sn: 0.750 0.750 0.750

Computed properties:
* ρ: 7.46 g cm⁻³
* calculated formation energy: -292 meV per atom
* D(E_F): 1.52 states/eV/atom